# 1
# Cs2ThAg3Br12, optimized geometry, DFT PBE
data_Cs2ThAg3Br12
_space_group_name_H-M_alt 'R -3 m'
_space_group_IT_number 166
_space_group_name_Hall '-R 3 2"'
_cell_length_a 9.5164
_cell_length_b 9.5164
_cell_length_c 28.7500
_cell_angle_alpha 90.00
_cell_angle_beta 90.00
_cell_angle_gamma 120.00
loop_
_atom_site_label
_atom_site_type_symbol
_atom_site_fract_x
_atom_site_fract_y
_atom_site_fract_z
_atom_site_occupancy
Cs1 Cs 0.0000 0.0000 0.1136 1
Th1 Th 0.0000 0.0000 0.5000 1
Ag1 Ag 0.0000 0.5000 0.0000 1
Br1 Br 0.0403 0.5202 0.1134 1
Br2 Br 0.0524 0.5262 0.3503 1
# Density ... 3.933 g/cm³
# D(E_F) ... 7.70 states/eV/f.u.
# Calculated total energy ... -166.1 eV per cell


# 2
# CsTi2AgBr8, optimized geometry, DFT PBE
data_CsTi2AgBr8
_space_group_name_H-M_alt 'P -3'
_space_group_IT_number 147
_space_group_name_Hall '-P 3'
_cell_length_a 7.1118
_cell_length_b 7.1118
_cell_length_c 10.1489
_cell_angle_alpha 90.00
_cell_angle_beta 90.00
_cell_angle_gamma 120.00
loop_
_atom_site_label
_atom_site_type_symbol
_atom_site_fract_x
_atom_site_fract_y
_atom_site_fract_z
_atom_site_occupancy
Cs1 Cs 0.0000 0.0000 0.0000 1
Ti1 Ti 0.3333 0.6667 0.7421 1
Ag1 Ag 0.0000 0.0000 0.5000 1
Br1 Br 0.0129 0.3310 0.6735 1
Br2 Br 0.3333 0.6667 0.9810 1
# Density ... 3.645 g/cm³
# D(E_F) ... 11.91 states/eV/f.u.
# Calculated total energy ... -46.1 eV per cell


# 3
# CsTl4Ag3Br12, optimized geometry, DFT PBE
data_CsTl4Ag3Br12
_space_group_name_H-M_alt 'I m -3'
_space_group_IT_number 204
_space_group_name_Hall '-I 2 2 3'
_cell_length_a 11.166
_cell_length_b 11.166
_cell_length_c 11.166
_cell_angle_alpha 90.00
_cell_angle_beta 90.00
_cell_angle_gamma 90.00
loop_
_atom_site_label
_atom_site_type_symbol
_atom_site_fract_x
_atom_site_fract_y
_atom_site_fract_z
_atom_site_occupancy
Cs1 Cs 0.000 0.000 0.000 1
Tl1 Tl 0.250 0.250 0.250 1
Ag1 Ag 0.000 0.000 0.500 1
Br1 Br 0.000 0.166 0.322 1
# Density ... 5.327 g/cm³
# D(E_F) ... 9.35 states/eV/f.u.
# Calculated total energy ... -102.4 eV per cell


For each record above, in turn, the calculated uncorrected formation energy values are -17.6; -13.2; -12.3 eV per formula unit.